Density functional theory data (PBE with a Hubbard U) for an optimized crystal structure of CoGeTeO6.

Summary:
E_tot, eV per atom: -5.941
Mass density, g/cm³: 5.9
Crystal system: trigonal

abc: 5.0482 5.0482 9.1278
angles: 90.00 90.00 120.00
Fractional positions:
Co1 0.0000 0.0000 0.0000
Co2 0.0000 0.0000 0.5000
Ge1 0.3333 0.6667 0.2500
Ge2 0.6667 0.3333 0.7500
Te1 0.3333 0.6667 0.7500
Te2 0.6667 0.3333 0.2500
O1 0.0048 0.3592 0.1341
O2 0.0048 0.6457 0.3659
O3 0.3543 0.3592 0.3659
O4 0.3543 0.9952 0.1341
O5 0.3592 0.0048 0.6341
O6 0.3592 0.3543 0.8659
O7 0.6408 0.6457 0.1341
O8 0.6408 0.9952 0.3659
O9 0.6457 0.0048 0.8659
O10 0.6457 0.6408 0.6341
O11 0.9952 0.3543 0.6341
O12 0.9952 0.6408 0.8659